(1)
! ScSbAs2 (PBE, relaxed); values from VASP
&SYSTEM
  ibrav = 0, nat = 4, ntyp = 3
/
ATOMIC_SPECIES
As 74.92 As.upf
Sb 121.76 Sb.upf
Sc 44.96 Sc.upf
ATOMIC_POSITIONS crystal
As 0.0000 0.0000 0.0000
Sb 0.5000 0.0000 0.5000
As 0.5000 0.5000 0.0000
Sc 0.0000 0.5000 0.5000
CELL_PARAMETERS angstrom
4.1410 0.0000 0.0000
0.0000 5.5247 0.0000
0.0000 0.0000 3.8273
! SG: Pmmm, No. 47
! Magnetic moment: 0.000 μB per atom
! Energy relative to the elements, uncorrected: -30.34 kJ per mole of atoms
! Energy: -0.38606 Ry per atom

=====

(2)
! Sc3SbAs (PBE, relaxed); values from VASP
&SYSTEM
  ibrav = 0, nat = 20, ntyp = 3
/
ATOMIC_SPECIES
Sb 121.76 Sb.upf
Sc 44.96 Sc.upf
As 74.92 As.upf
ATOMIC_POSITIONS crystal
Sb 0.7124 0.8525 0.6364
Sc 0.9271 0.3480 0.4598
Sb 0.7876 0.3636 0.1475
Sc 0.0729 0.6520 0.5402
Sc 0.5296 0.1937 0.0343
Sb 0.2876 0.1475 0.3636
As 0.2500 0.0888 0.9112
Sc 0.4704 0.8063 0.9657
Sc 0.0309 0.3660 0.8386
As 0.7500 0.9112 0.0888
Sb 0.2124 0.6364 0.8525
As 0.7500 0.2491 0.7509
Sc 0.9691 0.6340 0.1614
Sc 0.0296 0.0343 0.1937
Sc 0.5309 0.8386 0.3660
As 0.2500 0.7509 0.2491
Sc 0.9704 0.9657 0.8063
Sc 0.4691 0.1614 0.6340
Sc 0.5729 0.5402 0.6520
Sc 0.4271 0.4598 0.3480
CELL_PARAMETERS angstrom
-1.3546 6.6019 -0.8657
-6.6317 -0.5410 -5.8115
-7.1187 0.7991 5.1702
! SG: C2/c, No. 15
! Magnetic moment: 0.000 μB per atom
! Energy relative to the elements, uncorrected: -79.39 kJ per mole of atoms
! Energy: -0.46863 Ry per atom
! Energy above the most stable polymorph in this dataset: 0.00 kcal/mol of atoms

=====

(3)
! Sc4SbAs (PBE, relaxed); values from VASP
&SYSTEM
  ibrav = 0, nat = 6, ntyp = 3
/
ATOMIC_SPECIES
As 74.92 As.upf
Sc 44.96 Sc.upf
Sb 121.76 Sb.upf
ATOMIC_POSITIONS crystal
As 0.7500 0.7500 0.7500
Sc 0.3749 0.3749 0.8754
Sc 0.3749 0.3749 0.3749
Sc 0.8754 0.3749 0.3749
Sc 0.3749 0.8754 0.3749
Sb 0.0000 0.0000 0.0000
CELL_PARAMETERS angstrom
-3.6444 -1.2464 4.2710
-5.6083 1.1331 -0.5826
-3.7585 -4.3125 -0.5935
! SG: F-43m, No. 216
! Magnetic moment: 0.001 μB per atom
! Energy relative to the elements, uncorrected: -6.21 kJ per mole of atoms
! Energy: -0.42242 Ry per atom

=====

(4)
! ScSbAs2 (PBE, relaxed); values from VASP
&SYSTEM
  ibrav = 0, nat = 4, ntyp = 3
/
ATOMIC_SPECIES
As 74.92 As.upf
Sc 44.96 Sc.upf
Sb 121.76 Sb.upf
ATOMIC_POSITIONS crystal
As 0.0000 0.0000 0.0000
As 0.5000 0.5000 0.0000
Sc 0.0000 0.5000 0.5000
Sb 0.5000 0.0000 0.5000
CELL_PARAMETERS angstrom
4.8531 -0.0365 0.0000
-1.0075 4.7475 0.0000
0.0000 0.0000 3.6842
! SG: Cmmm, No. 65
! Magnetic moment: 0.000 μB per atom
! Energy relative to the elements, uncorrected: -33.52 kJ per mole of atoms
! Energy: -0.38849 Ry per atom

=====

(5)
! ScSb2As (PBE, relaxed); values from VASP
&SYSTEM
  ibrav = 0, nat = 4, ntyp = 3
/
ATOMIC_SPECIES
Sb 121.76 Sb.upf
As 74.92 As.upf
Sc 44.96 Sc.upf
ATOMIC_POSITIONS crystal
Sb 0.0000 0.0000 0.0000
Sb 0.2500 0.2500 0.2500
As 0.5000 0.5000 0.5000
Sc 0.7500 0.7500 0.7500
CELL_PARAMETERS angstrom
-0.2585 -4.0263 3.1802
2.5223 -4.3308 -1.1287
4.1162 -1.3671 2.7530
! SG: F-43m, No. 216
! Magnetic moment: 0.000 μB per atom
! Energy relative to the elements, uncorrected: -7.67 kJ per mole of atoms
! Energy: -0.35911 Ry per atom

=====

(6)
! Sc4SbAs2Se (PBE, relaxed); values from VASP
&SYSTEM
  ibrav = 0, nat = 8, ntyp = 4
/
ATOMIC_SPECIES
As 74.92 As.upf
Sc 44.96 Sc.upf
Se 78.96 Se.upf
Sb 121.76 Sb.upf
ATOMIC_POSITIONS crystal
As 0.5000 0.0000 0.5000
Sc 0.5000 0.7656 0.2484
Sc 0.0000 0.7678 0.7391
Sc 0.5000 0.2344 0.7516
As 0.0000 0.0000 0.0000
Se 0.0000 0.5000 0.5000
Sb 0.5000 0.5000 0.0000
Sc 0.0000 0.2322 0.2609
CELL_PARAMETERS angstrom
3.9424 0.0000 0.0000
0.0000 6.8582 -0.1511
0.0000 2.3973 6.4074
! SG: P2/m, No. 10
! Magnetic moment: 0.000 μB per atom
! Energy relative to the elements, uncorrected: -129.82 kJ per mole of atoms
! Energy: -0.48689 Ry per atom

=====

(7)
! ScSbAsSe2 (PBE, relaxed); values from VASP
&SYSTEM
  ibrav = 0, nat = 5, ntyp = 4
/
ATOMIC_SPECIES
Se 78.96 Se.upf
Sc 44.96 Sc.upf
Sb 121.76 Sb.upf
As 74.92 As.upf
ATOMIC_POSITIONS crystal
Se 0.0000 0.5000 0.0000
Se 0.5000 0.0000 0.0000
Sc 0.5000 0.5000 0.5000
Sb 0.0000 0.0000 0.0000
As 0.0000 0.0000 0.5000
CELL_PARAMETERS angstrom
5.2212 0.0000 0.0000
0.0000 5.2212 0.0000
0.0000 0.0000 5.2229
! SG: P4/mmm, No. 123
! Magnetic moment: 0.000 μB per atom
! Energy relative to the elements, uncorrected: 23.98 kJ per mole of atoms
! Energy: -0.30619 Ry per atom
! Energy above the most stable polymorph in this dataset: 8.11 kcal/mol of atoms

=====

(8)
! Sc6Sb2AsSe3 (PBE, relaxed); values from VASP
&SYSTEM
  ibrav = 0, nat = 12, ntyp = 4
/
ATOMIC_SPECIES
As 74.92 As.upf
Sc 44.96 Sc.upf
Sb 121.76 Sb.upf
Se 78.96 Se.upf
ATOMIC_POSITIONS crystal
As 0.5000 0.0000 0.0000
Sc 0.9977 0.2351 0.9955
Sc 0.3414 0.9284 0.6829
Sb 0.1685 0.3374 0.3371
Sc 0.3406 0.4058 0.6812
Se 0.5000 0.5000 0.0000
Sc 0.6594 0.5942 0.3188
Se 0.1682 0.8375 0.3363
Se 0.8318 0.1625 0.6637
Sb 0.8315 0.6626 0.6629
Sc 0.0023 0.7649 0.0045
Sc 0.6586 0.0716 0.3171
CELL_PARAMETERS angstrom
3.9566 0.0000 0.0000
0.0000 7.9693 0.2789
-1.9783 -2.3034 8.3980
! SG: C2/m, No. 12
! Magnetic moment: 0.000 μB per atom
! Energy relative to the elements, uncorrected: -130.10 kJ per mole of atoms
! Energy: -0.47479 Ry per atom